<i>
Computed, not measured: an optimized crystal structure of MnPd3S at the GGA-PBE level of DFT.

POSCAR file:
```
MnPd3S
1.0
4.4882 0.0000 0.0000
0.0000 4.4882 0.0000
0.0000 0.0000 4.4882
Mn Pd S
1 3 1
Direct
0.0000 0.0000 0.0000
0.0000 0.5000 0.5000
0.5000 0.0000 0.5000
0.5000 0.5000 0.0000
0.5000 0.5000 0.5000
```

Output
* volume: 90.4 Å³/cell

---

<ii>
Computed, not measured: an optimized crystal structure of MnPd3S at the GGA-PBE level of DFT.

POSCAR file:
```
MnPd3S
1.0
4.5426 0.0000 0.0000
0.0000 4.5426 0.0000
0.0000 0.0000 4.5426
Mn Pd S
1 3 1
Direct
0.0000 0.0000 0.0000
0.0000 0.0000 0.5000
0.0000 0.5000 0.0000
0.5000 0.0000 0.0000
0.5000 0.5000 0.5000
```

Output
* volume: 93.7 Å³/cell

---

Top of the stability list: <i>, leading by 1074 meV/atom.

---

<i>
Computed, not measured: an optimized crystal structure of Mn2SbPd6 at the GGA-PBE level of DFT.

POSCAR file:
```
Mn2SbPd6
1.0
-2.3268 3.7011 4.3053
2.3268 -3.7011 4.3053
2.3268 3.7011 -4.3053
Mn Sb Pd
2 1 6
Direct
0.1675 0.1675 0.0000
0.8325 0.8325 0.0000
0.5000 0.5000 0.0000
0.0213 0.3334 0.6879
0.3030 0.0000 0.3030
0.3546 0.6666 0.6879
0.6454 0.3334 0.3121
0.6970 0.0000 0.6970
0.9787 0.6666 0.3121
```

Output
* volume: 148.3 Å³/cell

---

<ii>
Computed, not measured: an optimized crystal structure of Mn2SbPd6 at the GGA-PBE level of DFT.

POSCAR file:
```
Mn2SbPd6
1.0
4.3287 -2.0576 0.0000
4.3287 2.0576 0.0000
-2.1456 0.0000 8.0166
Mn Sb Pd
2 1 6
Direct
0.1871 0.1871 0.2455
0.8129 0.8129 0.7545
0.5000 0.5000 0.0000
0.1607 0.1607 0.8934
0.1621 0.1621 0.5535
0.4919 0.4919 0.6704
0.5081 0.5081 0.3296
0.8379 0.8379 0.4465
0.8393 0.8393 0.1066
```

Output
* volume: 142.8 Å³/cell

---

Top of the stability list: <ii>, leading by 85 meV/atom.

---

<i>
Computed, not measured: an optimized crystal structure of MnSb2Pd at the GGA-PBE level of DFT.

POSCAR file:
```
MnSb2Pd
1.0
0.0000 3.3972 3.3972
3.3972 0.0000 3.3972
3.3972 3.3972 0.0000
Mn Sb Pd
1 2 1
Direct
0.0000 0.0000 0.0000
0.2500 0.2500 0.2500
0.7500 0.7500 0.7500
0.5000 0.5000 0.5000
```

Output
* volume: 78.4 Å³/cell

---

<ii>
Computed, not measured: an optimized crystal structure of MnSb2Pd at the GGA-PBE level of DFT.

POSCAR file:
```
MnSb2Pd
1.0
1.6563 0.9563 9.4386
-1.6563 0.9563 9.4386
0.0000 -1.9125 9.4386
Mn Sb Pd
1 2 1
Direct
0.0000 0.0000 0.0000
0.0945 0.0945 0.0945
0.9055 0.9055 0.9055
0.5000 0.5000 0.5000
```

Output
* volume: 89.7 Å³/cell

---

Top of the stability list: <i>, leading by 187 meV/atom.